## CaCeGdIn (PBE-GGA)

Data for CaCeGdIn after structural relaxation.

Cell lengths 7.8202, 7.8202, 7.8202 Å; angles 90.00, 90.00, 90.00 degrees
Last column: nearest neighbours and their distance in Å.
Space group F-43m (No. 216)
Unique sites:
Ca  0.0000  0.0000  0.0000 [4 per cell]  4 Ce 3.39, 4 In 3.39
Ce  0.2500  0.2500  0.2500 [4 per cell]  4 Gd 3.39, 4 Ca 3.39
Gd  0.0000  0.0000  0.5000 [4 per cell]  4 In 3.39, 4 Ce 3.39
In  0.2500  0.2500  0.7500 [4 per cell]  4 Ca 3.39, 4 Gd 3.39

Computed properties:
E_tot ... -6.221 eV per atom
M_tot ... 42.7 μB/cell

=====

## RhAu (PBE-GGA)

Data for RhAu after structural relaxation.

Cell lengths 8.1729, 8.1729, 4.1331 Å; angles 90.00, 90.00, 90.00 degrees
Last column: nearest neighbours and their distance in Å.
Space group I4/mmm (No. 139)
Unique sites:
Rh  0.1592  0.1592  0.0000 [8 per cell]  2 Rh 2.60, 6 Au 2.75-2.79
Au  0.0000  0.3132  0.5000 [8 per cell]  6 Rh 2.75-2.79, 5 Au 2.99-3.05

Computed properties:
E_tot ... -5.014 eV per atom
M_tot ... 6.3 μB/cell

=====

## InCo2Cl (PBE-GGA)

Data for InCo2Cl after structural relaxation.

Cell lengths 3.0666, 3.0666, 22.7927 Å; angles 90.00, 90.00, 120.00 degrees
Last column: nearest neighbours and their distance in Å.
Space group R-3m (No. 166, hexagonal axes)
Unique sites:
In  0.0000  0.0000  0.0000 [3 per cell]  6 Co 2.71
Co  0.0000  0.0000  0.2433 [6 per cell]  3 Cl 2.49, 3 In 2.71
Cl  0.0000  0.0000  0.5000 [3 per cell]  6 Co 2.49

Computed properties:
Energy above the lowest structure with this stoichiometry ... 204 meV per atom
ΔE_f (raw) ... 0.354 eV per atom
E_tot ... -4.345 eV per atom
M_tot ... 8.2 μB/cell

=====

## Ti2Ga4Pd (PBE-GGA)

Data for Ti2Ga4Pd after structural relaxation.

Cell lengths 6.0370, 6.0370, 6.5887 Å; angles 90.00, 90.00, 90.00 degrees
Last column: nearest neighbours and their distance in Å.
Space group I4/mmm (No. 139)
Unique sites:
Ti  0.0000  0.5000  0.0000 [4 per cell]  8 Ga 2.70, 2 Pd 3.02
Ga  0.2500  0.2500  0.2500 [8 per cell]  4 Ti 2.70, 2 Pd 2.70, 4 Ga 3.02
Pd  0.0000  0.0000  0.0000 [2 per cell]  8 Ga 2.70, 4 Ti 3.02

Computed properties:
Energy above the lowest structure with this stoichiometry ... 0 meV per atom
E_tot ... -5.078 eV per atom
M_tot ... 0.0 μB/cell

=====

## NaCa2TbSe4 (PBE-GGA)

Data for NaCa2TbSe4 after structural relaxation.

Cell lengths 7.2091, 4.2007, 7.2572 Å; angles 90.00, 108.62, 90.00 degrees
Last column: nearest neighbours and their distance in Å.
Space group P2/m (No. 10)
Unique sites:
Na  0.0000  0.0000  0.0000 [1 per cell]  6 Se 2.94-3.01
Ca  0.5000  0.0000  0.5000 [1 per cell]  6 Se 2.93-2.94
Ca  0.5000  0.5000  0.0000 [1 per cell]  6 Se 2.99-3.02
Tb  0.0000  0.5000  0.5000 [1 per cell]  6 Se 2.88-2.93
Se  0.2426  0.0000  0.7420 [2 per cell]  2 Tb 2.93, 3 Ca 2.93-3.02, 1 Na 2.94
Se  0.2507  0.5000  0.2604 [2 per cell]  1 Tb 2.88, 3 Ca 2.94-2.99, 2 Na 3.01

Computed properties:
ΔE_f (raw) ... -1.834 eV per atom
E_tot ... -4.820 eV per atom
M_tot ... 0.0 μB/cell

=====

## ZrScPd14 (PBE-GGA)

Data for ZrScPd14 after structural relaxation.

Cell lengths 5.6580, 5.6580, 7.9394 Å; angles 90.00, 90.00, 90.00 degrees
Last column: nearest neighbours and their distance in Å.
Space group P4/mmm (No. 123)
Unique sites:
Zr  0.0000  0.0000  0.0000 [1 per cell]  12 Pd 2.82-2.83
Sc  0.5000  0.5000  0.0000 [1 per cell]  12 Pd 2.82-2.83
Pd  0.0000  0.0000  0.5000 [1 per cell]  12 Pd 2.82-2.83
Pd  0.0000  0.5000  0.0000 [2 per cell]  8 Pd 2.82, 2 Zr 2.83, 2 Sc 2.83
Pd  0.0000  0.5000  0.5000 [2 per cell]  12 Pd 2.82-2.83
Pd  0.2498  0.2498  0.2499 [8 per cell]  1 Zr 2.82, 10 Pd 2.82-2.83, 1 Sc 2.82
Pd  0.5000  0.5000  0.5000 [1 per cell]  12 Pd 2.82-2.83

Computed properties:
E_tot ... -5.891 eV per atom
M_tot ... 0.0 μB/cell

=====

- Which value of M_tot does entry 4 give?
  0.0 μB/cell